DyHoH2Cl4 GGA-PBE optimized geometry; calculated density = 4.894 g cm⁻³; calculated total energy = -4.68 eV per atom; magnetic moment = 0.00 μB/f.u.
1.0
3.727 0.000 0.000
-1.863 3.228 0.000
0.000 0.000 13.292
Dy Ho H Cl
1 1 2 4
Direct
0.000 0.000 0.000
0.000 0.000 0.500
0.333 0.667 0.500
0.667 0.333 0.000
0.333 0.667 0.132
0.333 0.667 0.868
0.667 0.333 0.369
0.667 0.333 0.631